Below is crystalline Ce2InTe5 at its relaxed geometry, with properties calculated at the PBE level.

Cell: 8.662 13.320 4.331 Å, 90.00 90.00 90.00°
Atoms (fractional coordinates):
1 Ce 0.024 0.175 0.000
2 Ce 0.476 0.675 0.000
3 Ce 0.524 0.325 0.000
4 Ce 0.976 0.825 0.000
5 In 0.000 0.500 0.500
6 In 0.500 0.000 0.500
7 Te 0.000 0.000 0.500
8 Te 0.171 0.397 0.000
9 Te 0.186 0.696 0.500
10 Te 0.314 0.196 0.500
11 Te 0.329 0.897 0.000
12 Te 0.500 0.500 0.500
13 Te 0.671 0.103 0.000
14 Te 0.686 0.804 0.500
15 Te 0.814 0.304 0.500
16 Te 0.829 0.603 0.000

raw total energy: -0.3495 Ry per atom
space group: Pbam
theoretical density: 6.87 g cm⁻³